# 1
VASP calculation (PBE) on a relaxed structure of LuThGaPb.

## Properties
**Density of states at the Fermi level**: 3.790 states/eV/f.u.
**Spin magnetization**: 0.000 μB/atom
**Formation energy from the elements**: -1.1 eV/f.u.

Lattice parameters (Å, degrees): 7.521 7.521 7.521 90.00 90.00 90.00
Space group F-43m (No. 216)
Inequivalent atoms, fractional coordinates:
Lu: 0.000 0.000 0.000
Th: 0.000 0.000 0.500
Ga: 0.250 0.250 0.750
Pb: 0.250 0.250 0.250

---

# 2
VASP calculation (PBE) on a relaxed structure of Ca2Nd.

## Properties
**Density of states at the Fermi level**: 3.939 states/eV/f.u.
**Spin magnetization**: 0.000 μB/atom
**Relative energy among the computed polymorphs**: 0.007 eV per atom
**Formation energy from the elements**: 0.3 eV/f.u.

Lattice parameters (Å, degrees): 6.0648 6.0648 3.6149 90.00 90.00 120.00
Space group P-3m1 (No. 164)
Inequivalent atoms, fractional coordinates:
Ca: 0.3333 0.6667 0.3737
Nd: 0.0000 0.0000 0.0000